VASP calculation (PBE-GGA) on Li2MgHg after structural relaxation.

Calculated values
E_tot = -27.13 eV for the cell shown

Unit cell a=6.6071 b=6.6071 c=6.6071 alpha=90.00 beta=90.00 gamma=90.00
Closest atoms and distances in Å follow each position.
Space group F-43m (No. 216)
Unique sites:
Li: 0.0000 0.0000 0.0000 (multiplicity 4)  4 Hg 2.86, 4 Li 2.86
Li: 0.2500 0.2500 0.2500 (multiplicity 4)  4 Li 2.86, 4 Mg 2.86
Mg: 0.0000 0.0000 0.5000 (multiplicity 4)  4 Hg 2.86, 4 Li 2.86
Hg: 0.2500 0.2500 0.7500 (multiplicity 4)  4 Li 2.86, 4 Mg 2.86

VASP calculation (PBE-GGA) on Gd3Mg3Pt2Au after structural relaxation.

Calculated values
M_tot = 0.0 μB per formula unit
E_tot = -83.47 eV for the cell shown

Unit cell a=4.0271 b=13.0767 c=7.5379 alpha=90.00 beta=90.00 gamma=90.00
Closest atoms and distances in Å follow each position.
Space group Amm2 (No. 38)
Unique sites:
Gd: 0.0000 0.0000 0.0000 (multiplicity 2)  4 Pt 3.03, 1 Au 3.14, 6 Mg 3.22-3.40
Gd: 0.0000 0.2082 0.6238 (multiplicity 4)  4 Pt 3.03, 1 Au 3.14, 2 Mg 3.23
Mg: 0.5000 0.0000 0.6661 (multiplicity 2)  2 Au 2.76, 2 Pt 2.88
Mg: 0.5000 0.1249 0.2910 (multiplicity 4)  2 Au 2.76, 2 Pt 2.88
Pt: 0.5000 0.1667 0.9159 (multiplicity 4)  3 Mg 2.88, 6 Gd 3.03
Au: 0.0000 0.0000 0.4165 (multiplicity 2)  6 Mg 2.76

VASP calculation (PBE-GGA) on Ag2SnTe3 after structural relaxation.

Calculated values
Excess energy over the best structure of this formula in the dataset = 0.008 eV/atom
E_tot = -79.56 eV for the cell shown

Unit cell a=13.7532 b=7.9132 c=7.5473 alpha=90.00 beta=90.00 gamma=90.00
Closest atoms and distances in Å follow each position.
Space group Cmc2_1 (No. 36)
Unique sites:
Ag: 0.1661 0.1557 0.0000 (multiplicity 8)  4 Te 2.79-2.83
Sn: 0.0000 0.3331 0.4798 (multiplicity 4)  4 Te 2.77-2.90
Te: 0.0000 0.3219 0.8644 (multiplicity 4)  2 Ag 2.83, 2 Sn 2.87-2.90
Te: 0.1692 0.1743 0.3700 (multiplicity 8)  1 Sn 2.77, 3 Ag 2.79-2.81